First-principles (PBE-GGA) data for crystalline Pr2DyRu at its relaxed geometry, as listed in the Alexandria database.

Computed properties:
* total DFT energy (no corrections): -5.8460 eV per atom
* ΔH_f (0 K): 1.28 kJ per mole of atoms
* Fermi-level density of states: 5.69 states/eV/cell
* relative energy among the computed polymorphs: 0.219 eV per atom

Cell lengths 3.539, 3.539, 9.262 Å; angles 90.00, 90.00, 90.00 degrees
Fractional coordinates of all 4 atoms:
1 Dy 0.500 0.500 0.500
2 Pr 0.000 0.000 0.188
3 Pr 0.000 0.000 0.812
4 Ru 0.500 0.500 0.000